A relaxed structure of Sm8Hg3Te4, computed with GGA-PBE.

Properties
Formation energy (no corrections) = -0.85 eV/atom
Crystal system = monoclinic
DOS(E_F) = 11.42 states/eV per cell
Total magnetization = 0.0 Bohr magnetons per cell
Volume = 478 Å³/cell

The structure in CIF format:
```
data_Sm8Hg3Te4
_chemical_formula_sum 'Sm8 Hg3 Te4'
_cell_length_a 8.7240
_cell_length_b 8.7754
_cell_length_c 8.7754
_cell_angle_alpha 89.75
_cell_angle_beta 119.83
_cell_angle_gamma 119.83
_symmetry_space_group_name_H-M 'P 1'
_symmetry_Int_Tables_number 1
loop_
_symmetry_equiv_pos_as_xyz
'x,y,z'
loop_
_atom_site_label
_atom_site_fract_x
_atom_site_fract_y
_atom_site_fract_z
_atom_site_occupancy
Sm1 0.0000 0.7430 0.2570 1
Sm2 0.9985 0.7459 0.7459 1
Sm3 0.4845 0.7420 0.7420 1
Sm4 0.5000 0.2498 0.7502 1
Sm5 0.5155 0.2580 0.2580 1
Sm6 0.0000 0.2570 0.7430 1
Sm7 0.5000 0.7502 0.2498 1
Sm8 0.0015 0.2541 0.2541 1
Hg1 0.5000 0.5000 0.5000 1
Hg2 0.5000 0.5000 0.0000 1
Hg3 0.5000 0.0000 0.5000 1
Te1 0.0000 0.0000 0.5000 1
Te2 0.5000 0.0000 0.0000 1
Te3 0.0000 0.5000 0.0000 1
Te4 0.0000 0.0000 0.0000 1
```



A relaxed structure of SmHgTe2, computed with GGA-PBE.

Properties
Formation energy (no corrections) = -0.77 eV/atom
Crystal system = trigonal
DOS(E_F) = 2.59 states/eV per cell
Total magnetization = 0.0 Bohr magnetons per cell
Energy above the lowest structure with this stoichiometry = 3.5 meV/atom
Volume = 167 Å³/cell

The structure in CIF format:
```
data_SmHgTe2
_chemical_formula_sum 'Sm1 Hg1 Te2'
_cell_length_a 4.5542
_cell_length_b 4.5542
_cell_length_c 9.6423
_cell_angle_alpha 76.34
_cell_angle_beta 76.34
_cell_angle_gamma 60.00
_symmetry_space_group_name_H-M 'P 1'
_symmetry_Int_Tables_number 1
loop_
_symmetry_equiv_pos_as_xyz
'x,y,z'
loop_
_atom_site_label
_atom_site_fract_x
_atom_site_fract_y
_atom_site_fract_z
_atom_site_occupancy
Te1 0.8950 0.8950 0.3151 1
Te2 0.1050 0.1050 0.6849 1
Sm1 0.5000 0.5000 0.5000 1
Hg1 0.0000 0.0000 0.0000 1
```



A relaxed structure of Sm5Hg2Te, computed with GGA-PBE.

Properties
Formation energy (no corrections) = -0.56 eV/atom
Crystal system = tetragonal
DOS(E_F) = 15.84 states/eV per cell
Total magnetization = 0.0 Bohr magnetons per cell
Energy above the lowest structure with this stoichiometry = 0.0 meV/atom
Volume = 473 Å³/cell

The structure in CIF format:
```
data_Sm5Hg2Te
_chemical_formula_sum 'Sm10 Hg4 Te2'
_cell_length_a 8.5667
_cell_length_b 8.5667
_cell_length_c 8.8423
_cell_angle_alpha 118.97
_cell_angle_beta 118.97
_cell_angle_gamma 90.00
_symmetry_space_group_name_H-M 'P 1'
_symmetry_Int_Tables_number 1
loop_
_symmetry_equiv_pos_as_xyz
'x,y,z'
loop_
_atom_site_label
_atom_site_fract_x
_atom_site_fract_y
_atom_site_fract_z
_atom_site_occupancy
Sm1 0.1982 0.0072 0.7054 1
Sm2 0.0000 0.0000 0.0000 1
Sm3 0.5072 0.6982 0.7054 1
Sm4 0.4928 0.3018 0.2946 1
Sm5 0.9928 0.4928 0.2946 1
Sm6 0.0072 0.5072 0.7054 1
Sm7 0.5000 0.5000 0.0000 1
Sm8 0.3018 0.8018 0.2946 1
Sm9 0.6982 0.1982 0.7054 1
Sm10 0.8018 0.9928 0.2946 1
Te1 0.7500 0.7500 0.5000 1
Te2 0.2500 0.2500 0.5000 1
Hg1 0.8600 0.6400 0.0000 1
Hg2 0.3600 0.8600 0.0000 1
Hg3 0.1400 0.3600 0.0000 1
Hg4 0.6400 0.1400 0.0000 1
```



A relaxed structure of Sm2HgTe, computed with GGA-PBE.

Properties
Formation energy (no corrections) = -0.90 eV/atom
Crystal system = trigonal
DOS(E_F) = 2.23 states/eV per cell
Total magnetization = 0.0 Bohr magnetons per cell
Energy above the lowest structure with this stoichiometry = 0.0 meV/atom
Volume = 123 Å³/cell

The structure in CIF format:
```
data_Sm2HgTe
_chemical_formula_sum 'Sm2 Hg1 Te1'
_cell_length_a 4.2647
_cell_length_b 4.2669
_cell_length_c 8.1662
_cell_angle_alpha 105.14
_cell_angle_beta 90.00
_cell_angle_gamma 119.98
_symmetry_space_group_name_H-M 'P 1'
_symmetry_Int_Tables_number 1
loop_
_symmetry_equiv_pos_as_xyz
'x,y,z'
loop_
_atom_site_label
_atom_site_fract_x
_atom_site_fract_y
_atom_site_fract_z
_atom_site_occupancy
Hg1 0.5000 0.5000 0.0000 1
Sm1 0.7493 0.9986 0.7480 1
Sm2 0.2507 0.0014 0.2520 1
Te1 0.0000 0.5000 0.5000 1
```



A relaxed structure of Sm5Hg2Te, computed with GGA-PBE.

Properties
Formation energy (no corrections) = -0.36 eV/atom
Crystal system = orthorhombic
DOS(E_F) = 17.12 states/eV per cell
Total magnetization = 0.0 Bohr magnetons per cell
Energy above the lowest structure with this stoichiometry = 193.1 meV/atom
Volume = 526 Å³/cell

The structure in CIF format:
```
data_Sm5Hg2Te
_chemical_formula_sum 'Sm10 Hg4 Te2'
_cell_length_a 5.7925
_cell_length_b 6.9571
_cell_length_c 14.3488
_cell_angle_alpha 90.00
_cell_angle_beta 90.00
_cell_angle_gamma 114.60
_symmetry_space_group_name_H-M 'P 1'
_symmetry_Int_Tables_number 1
loop_
_symmetry_equiv_pos_as_xyz
'x,y,z'
loop_
_atom_site_label
_atom_site_fract_x
_atom_site_fract_y
_atom_site_fract_z
_atom_site_occupancy
Sm1 0.3933 0.7866 0.4228 1
Sm2 0.9401 0.8802 0.6071 1
Sm3 0.9401 0.8802 0.8929 1
Sm4 0.6067 0.2134 0.9228 1
Sm5 0.0599 0.1198 0.3929 1
Sm6 0.6584 0.3168 0.2500 1
Sm7 0.3416 0.6832 0.7500 1
Sm8 0.3933 0.7866 0.0772 1
Sm9 0.6067 0.2134 0.5772 1
Sm10 0.0599 0.1198 0.1071 1
Hg1 0.2090 0.4179 0.9326 1
Hg2 0.7910 0.5821 0.4326 1
Hg3 0.2090 0.4179 0.5674 1
Hg4 0.7910 0.5821 0.0674 1
Te1 0.7531 0.5062 0.7500 1
Te2 0.2469 0.4938 0.2500 1
```



A relaxed structure of Sm7Hg2Te2, computed with GGA-PBE.

Properties
Formation energy (no corrections) = -0.41 eV/atom
Crystal system = orthorhombic
DOS(E_F) = 11.44 states/eV per cell
Total magnetization = 0.0 Bohr magnetons per cell
Volume = 356 Å³/cell

The structure in CIF format:
```
data_Sm7Hg2Te2
_chemical_formula_sum 'Sm7 Hg2 Te2'
_cell_length_a 6.9137
_cell_length_b 7.7575
_cell_length_c 6.9137
_cell_angle_alpha 89.97
_cell_angle_beta 106.05
_cell_angle_gamma 90.03
_symmetry_space_group_name_H-M 'P 1'
_symmetry_Int_Tables_number 1
loop_
_symmetry_equiv_pos_as_xyz
'x,y,z'
loop_
_atom_site_label
_atom_site_fract_x
_atom_site_fract_y
_atom_site_fract_z
_atom_site_occupancy
Sm1 0.4997 0.2815 0.9999 1
Sm2 0.0000 0.0000 0.0000 1
Sm3 0.5000 0.2686 0.5000 1
Sm4 0.5000 0.7314 0.5000 1
Sm5 0.0001 0.2815 0.5003 1
Sm6 0.9999 0.7185 0.4997 1
Sm7 0.5003 0.7185 0.0001 1
Te1 0.7190 0.0002 0.2810 1
Te2 0.2810 0.9998 0.7190 1
Hg1 0.1757 0.5000 0.1757 1
Hg2 0.8243 0.5000 0.8243 1
```



A relaxed structure of Sm5Hg2Te2, computed with GGA-PBE.

Properties
Formation energy (no corrections) = -0.83 eV/atom
Crystal system = orthorhombic
DOS(E_F) = 16.24 states/eV per cell
Total magnetization = 0.0 Bohr magnetons per cell
Volume = 535 Å³/cell

The structure in CIF format:
```
data_Sm5Hg2Te2
_chemical_formula_sum 'Sm10 Hg4 Te4'
_cell_length_a 8.1208
_cell_length_b 8.2882
_cell_length_c 8.9672
_cell_angle_alpha 117.53
_cell_angle_beta 90.00
_cell_angle_gamma 90.00
_symmetry_space_group_name_H-M 'P 1'
_symmetry_Int_Tables_number 1
loop_
_symmetry_equiv_pos_as_xyz
'x,y,z'
loop_
_atom_site_label
_atom_site_fract_x
_atom_site_fract_y
_atom_site_fract_z
_atom_site_occupancy
Te1 0.0000 0.7991 0.5982 1
Te2 0.5000 0.7009 0.4018 1
Te3 0.0000 0.2009 0.4018 1
Te4 0.5000 0.2991 0.5982 1
Sm1 0.6606 0.0334 0.7310 1
Sm2 0.8394 0.8023 0.2690 1
Sm3 0.0000 0.0000 0.0000 1
Sm4 0.8394 0.5334 0.7310 1
Sm5 0.1606 0.1977 0.7310 1
Sm6 0.1606 0.4666 0.2690 1
Sm7 0.3394 0.9666 0.2690 1
Sm8 0.5000 0.5000 0.0000 1
Sm9 0.3394 0.6977 0.7310 1
Sm10 0.6606 0.3023 0.2690 1
Hg1 0.8715 0.3662 0.0000 1
Hg2 0.1285 0.6338 0.0000 1
Hg3 0.6285 0.8662 0.0000 1
Hg4 0.3715 0.1338 0.0000 1
```



A relaxed structure of Sm2HgTe, computed with GGA-PBE.

Properties
Formation energy (no corrections) = -0.82 eV/atom
Crystal system = trigonal
DOS(E_F) = 2.75 states/eV per cell
Total magnetization = 0.0 Bohr magnetons per cell
Energy above the lowest structure with this stoichiometry = 83.1 meV/atom
Volume = 123 Å³/cell

The structure in CIF format:
```
data_Sm2HgTe
_chemical_formula_sum 'Sm2 Hg1 Te1'
_cell_length_a 4.1427
_cell_length_b 4.1427
_cell_length_c 8.6408
_cell_angle_alpha 76.13
_cell_angle_beta 76.13
_cell_angle_gamma 60.00
_symmetry_space_group_name_H-M 'P 1'
_symmetry_Int_Tables_number 1
loop_
_symmetry_equiv_pos_as_xyz
'x,y,z'
loop_
_atom_site_label
_atom_site_fract_x
_atom_site_fract_y
_atom_site_fract_z
_atom_site_occupancy
Te1 0.6676 0.6676 0.9972 1
Sm1 0.0814 0.0814 0.7557 1
Sm2 0.2517 0.2517 0.2450 1
Hg1 0.4993 0.4993 0.5021 1
```



A relaxed structure of Sm2HgTe, computed with GGA-PBE.

Properties
Formation energy (no corrections) = -0.81 eV/atom
Crystal system = tetragonal
DOS(E_F) = 3.98 states/eV per cell
Total magnetization = 0.0 Bohr magnetons per cell
Energy above the lowest structure with this stoichiometry = 90.9 meV/atom
Volume = 111 Å³/cell

The structure in CIF format:
```
data_Sm2HgTe
_chemical_formula_sum 'Sm2 Hg1 Te1'
_cell_length_a 3.9496
_cell_length_b 3.9496
_cell_length_c 7.1323
_cell_angle_alpha 90.00
_cell_angle_beta 90.00
_cell_angle_gamma 90.00
_symmetry_space_group_name_H-M 'P 1'
_symmetry_Int_Tables_number 1
loop_
_symmetry_equiv_pos_as_xyz
'x,y,z'
loop_
_atom_site_label
_atom_site_fract_x
_atom_site_fract_y
_atom_site_fract_z
_atom_site_occupancy
Hg1 0.5000 0.5000 0.0000 1
Te1 0.5000 0.5000 0.5000 1
Sm1 0.0000 0.0000 0.2502 1
Sm2 0.0000 0.0000 0.7498 1
```



A relaxed structure of Sm6Hg5Te, computed with GGA-PBE.

Properties
Formation energy (no corrections) = -0.58 eV/atom
Crystal system = orthorhombic
DOS(E_F) = 13.59 states/eV per cell
Total magnetization = 0.0 Bohr magnetons per cell
Volume = 329 Å³/cell

The structure in CIF format:
```
data_Sm6Hg5Te
_chemical_formula_sum 'Sm6 Hg5 Te1'
_cell_length_a 5.3992
_cell_length_b 7.4952
_cell_length_c 9.3427
_cell_angle_alpha 113.65
_cell_angle_beta 106.80
_cell_angle_gamma 90.00
_symmetry_space_group_name_H-M 'P 1'
_symmetry_Int_Tables_number 1
loop_
_symmetry_equiv_pos_as_xyz
'x,y,z'
loop_
_atom_site_label
_atom_site_fract_x
_atom_site_fract_y
_atom_site_fract_z
_atom_site_occupancy
Sm1 0.1658 0.9178 0.3316 1
Sm2 0.8342 0.0822 0.6684 1
Sm3 0.8342 0.5862 0.6684 1
Sm4 0.1658 0.4138 0.3316 1
Sm5 0.5000 0.7511 0.0000 1
Sm6 0.5000 0.2489 0.0000 1
Hg1 0.3212 0.8212 0.6424 1
Hg2 0.3342 0.3342 0.6684 1
Hg3 0.0000 0.5000 0.0000 1
Hg4 0.6658 0.6658 0.3316 1
Hg5 0.6788 0.1788 0.3576 1
Te1 0.0000 0.0000 0.0000 1
```